Below is a relaxed Cr2CoRh crystal, with properties calculated at the GGA-PBE level.

Energy relative to the lowest polymorph listed for this composition = 0.109 eV/atom
Spin magnetization = 1.93 μB per cell
Formation energy = 0.4 eV/f.u.

Cell and atoms, written as POSCAR:
```
Cr2CoRh
1.0
2.877 0.000 0.000
0.000 2.877 0.000
0.000 0.000 5.913
Cr Co Rh
2 1 1
Cartesian
0.000 0.000 0.030 Cr
1.439 1.439 1.317 Cr
1.439 1.439 4.586 Co
0.000 0.000 2.936 Rh
```



Below is a relaxed Cr2CoRh crystal, with properties calculated at the GGA-PBE level.

Energy relative to the lowest polymorph listed for this composition = 0.176 eV/atom
Spin magnetization = 1.73 μB per cell
Formation energy = 0.7 eV/f.u.

Cell and atoms, written as POSCAR:
```
Cr2CoRh
1.0
-2.258 -0.877 0.820
1.303 -1.834 -1.217
3.393 -2.217 6.972
Co Cr Rh
1 2 1
Cartesian
2.113 -3.048 5.125 Co
0.324 -1.879 1.449 Cr
0.012 -0.008 0.026 Cr
1.685 -1.101 3.462 Rh
```



Below is a relaxed Cr2CoRh crystal, with properties calculated at the GGA-PBE level.

Energy relative to the lowest polymorph listed for this composition = 0.054 eV/atom
Spin magnetization = 0.28 μB per cell
Formation energy = 0.2 eV/f.u.

Cell and atoms, written as POSCAR:
```
Cr2CoRh
1.0
-2.739 2.993 -1.849
-3.927 -1.950 -0.811
2.501 0.173 3.687
Cr Rh Co
2 1 1
Cartesian
0.000 0.000 0.000 Cr
-2.379 -0.627 0.773 Cr
-3.333 0.522 -1.330 Rh
-1.785 1.844 0.254 Co
```



Below is a relaxed CrCoRh4 crystal, with properties calculated at the GGA-PBE level.

Energy relative to the lowest polymorph listed for this composition = 0.000 eV/atom
Spin magnetization = 5.70 μB per cell
Formation energy = 1.9 eV/f.u.

Cell and atoms, written as POSCAR:
```
CrCoRh4
1.0
-2.542 -5.000 -0.797
4.878 -2.174 -1.932
1.399 -1.553 5.280
Rh Co Cr
8 2 2
Cartesian
4.361 -7.494 2.748 Rh
1.223 -5.631 1.074 Rh
2.512 -3.096 1.478 Rh
-0.626 -1.233 -0.196 Rh
0.523 -4.855 -1.566 Rh
0.073 -2.009 2.444 Rh
3.211 -3.873 4.118 Rh
3.662 -6.718 0.108 Rh
3.436 -5.295 2.113 Co
0.298 -3.432 0.439 Co
2.269 -1.708 3.478 Cr
4.008 -2.019 -0.129 Cr
```



Below is a relaxed Cr2CoRh crystal, with properties calculated at the GGA-PBE level.

Energy relative to the lowest polymorph listed for this composition = 0.027 eV/atom
Spin magnetization = 0.00 μB per cell
Formation energy = 0.1 eV/f.u.

Cell and atoms, written as POSCAR:
```
Cr2CoRh
1.0
-2.162 0.078 -1.397
-1.316 -0.987 1.981
-1.331 6.657 2.433
Cr Rh Co
2 1 1
Cartesian
-0.684 3.420 1.250 Cr
-1.312 6.565 2.400 Cr
-2.072 1.210 0.900 Rh
-2.737 4.538 2.117 Co
```



Below is a relaxed Cr2CoRh crystal, with properties calculated at the GGA-PBE level.

Energy relative to the lowest polymorph listed for this composition = 0.004 eV/atom
Spin magnetization = 0.00 μB per cell
Formation energy = 0.0 eV/f.u.

Cell and atoms, written as POSCAR:
```
Cr2CoRh
1.0
4.461 0.005 -0.009
1.529 4.191 0.009
-2.990 -2.105 2.555
Rh Cr Co
1 2 1
Cartesian
2.233 -0.001 1.273 Rh
2.995 2.098 0.000 Cr
0.000 0.000 0.000 Cr
0.767 2.092 1.282 Co
```



Below is a relaxed CrCoRh4 crystal, with properties calculated at the GGA-PBE level.

Energy relative to the lowest polymorph listed for this composition = 0.169 eV/atom
Spin magnetization = 6.05 μB per cell
Formation energy = 2.9 eV/f.u.

Cell and atoms, written as POSCAR:
```
CrCoRh4
1.0
-2.858 -3.742 1.853
-2.060 0.431 4.602
-4.997 0.635 0.486
Rh Cr Co
4 1 1
Cartesian
-5.167 -1.888 2.038 Rh
-6.196 -1.672 4.338 Rh
-4.768 0.198 3.411 Rh
-3.699 -1.990 4.095 Rh
0.000 0.000 0.000 Cr
-2.479 -0.669 1.735 Co
```



Below is a relaxed Cr2CoRh crystal, with properties calculated at the GGA-PBE level.

Energy relative to the lowest polymorph listed for this composition = 0.071 eV/atom
Spin magnetization = 0.01 μB per cell
Formation energy = 0.3 eV/f.u.

Cell and atoms, written as POSCAR:
```
Cr2CoRh
1.0
-2.590 -3.297 1.335
-0.933 -4.281 -0.403
2.499 -1.694 3.340
Rh Cr Co
1 2 1
Cartesian
-0.489 -4.662 2.173 Rh
-0.770 -6.930 3.189 Cr
-3.446 -7.599 1.017 Cr
-0.356 -2.297 0.961 Co
```



Below is a relaxed Cr2CoRh crystal, with properties calculated at the GGA-PBE level.

Energy relative to the lowest polymorph listed for this composition = 0.160 eV/atom
Spin magnetization = 6.04 μB per cell
Formation energy = 0.6 eV/f.u.

Cell and atoms, written as POSCAR:
```
Cr2CoRh
1.0
0.000 2.947 2.947
2.947 0.000 2.947
2.947 2.947 0.000
Rh Co Cr
1 1 2
Cartesian
2.947 2.947 2.947 Rh
0.000 0.000 0.000 Co
4.420 4.420 4.420 Cr
1.473 1.473 1.473 Cr
```



Below is a relaxed Cr2CoRh crystal, with properties calculated at the GGA-PBE level.

Energy relative to the lowest polymorph listed for this composition = 0.000 eV/atom
Spin magnetization = 0.00 μB per cell
Formation energy = 0.0 eV/f.u.

Cell and atoms, written as POSCAR:
```
Cr2CoRh
1.0
3.587 0.000 0.000
0.000 2.589 0.007
0.000 2.589 5.160
Cr Co Rh
2 1 1
Cartesian
0.000 2.592 5.049 Cr
0.000 2.586 2.695 Cr
1.794 3.884 3.875 Co
1.794 1.295 1.292 Rh
```



Below is a relaxed Cr2CoRh crystal, with properties calculated at the GGA-PBE level.

Energy relative to the lowest polymorph listed for this composition = 0.164 eV/atom
Spin magnetization = 6.06 μB per cell
Formation energy = 0.7 eV/f.u.

Cell and atoms, written as POSCAR:
```
Cr2CoRh
1.0
4.197 0.000 0.000
0.000 4.197 0.000
0.000 0.000 2.914
Cr Rh Co
2 1 1
Cartesian
2.098 2.098 0.000 Cr
0.000 0.000 0.000 Cr
2.098 0.000 1.457 Rh
0.000 2.098 1.457 Co
```



Below is a relaxed Cr2CoRh crystal, with properties calculated at the GGA-PBE level.

Energy relative to the lowest polymorph listed for this composition = 0.031 eV/atom
Spin magnetization = 0.00 μB per cell
Formation energy = 0.1 eV/f.u.

Cell and atoms, written as POSCAR:
```
Cr2CoRh
1.0
4.448 0.007 -0.034
-1.523 4.179 -0.034
0.018 0.026 2.581
Co Cr Rh
1 2 1
Cartesian
-0.752 2.103 1.274 Co
1.463 2.093 -0.034 Cr
0.000 0.000 0.000 Cr
2.233 0.017 1.274 Rh
```